1.
ZnSe2Br | PBE-GGA | relaxed

a = 5.6287 Å, b = 5.6287 Å, c = 5.8776 Å
α = 94.16°, β = 94.16°, γ = 37.09°
Last column: nearest neighbours and their distance in Å.
Fractional positions:
Br  0.2500  0.2500  0.2500  2 Se 2.70
Se  0.0953  0.0953  0.8637  2 Zn 2.56, 1 Br 2.70
Se  0.4047  0.4047  0.6363  2 Zn 2.56, 1 Br 2.70
Zn  0.7500  0.7500  0.7500  4 Se 2.56

Values from the calculation:
The calculated total energy is -2.543 eV per atom. Its total magnetic moment is 0.0 μB per formula unit. The calculation puts the formation energy without anion corrections at -0.06 eV/atom.



2.
NaCd2AgO4 | PBE-GGA | relaxed

a = 6.5035 Å, b = 6.5035 Å, c = 6.8349 Å
α = 117.38°, β = 117.38°, γ = 90.33°
Last column: nearest neighbours and their distance in Å.
Fractional positions:
Na  0.0000  0.5000  0.0000  4 O 2.34-2.36
Na  0.0000  0.5000  0.5000  4 O 2.34-2.36
Cd  0.5000  0.0000  0.0000  6 O 2.27-2.47
Cd  0.5000  0.0000  0.5000  6 O 2.27-2.47
Cd  0.0000  0.0000  0.5000  2 O 2.15
Cd  0.5000  0.5000  0.0000  2 O 2.15
Ag  0.5000  0.5000  0.5000  4 O 2.08-2.10
Ag  0.0000  0.0000  0.0000  4 O 2.08-2.10
O  0.2412  0.7909  0.0254  1 Ag 2.08, 1 Cd 2.27
O  0.7091  0.2588  0.4746  1 Ag 2.08, 1 Cd 2.27
O  0.2909  0.7412  0.5254  1 Ag 2.08, 1 Cd 2.27
O  0.7588  0.2091  0.9746  1 Ag 2.08, 1 Cd 2.27
O  0.8181  0.8179  0.0859  1 Ag 2.10, 1 Cd 2.15
O  0.6821  0.6819  0.4141  1 Ag 2.10, 1 Cd 2.15
O  0.3179  0.3181  0.5859  1 Ag 2.10, 1 Cd 2.15
O  0.1819  0.1821  0.9141  1 Ag 2.10, 1 Cd 2.15

Values from the calculation:
The calculated total energy is -4.035 eV per atom. Its total magnetic moment is 0.0 μB per formula unit. The calculation puts the formation energy without anion corrections at -0.81 eV/atom.



3.
ZrVSe2 | PBE-GGA | relaxed

a = 8.9629 Å, b = 8.9629 Å, c = 8.9629 Å
α = 20.81°, β = 20.81°, γ = 20.81°
Last column: nearest neighbours and their distance in Å.
Fractional positions:
Zr  0.0000  0.0000  0.0000  2 Se 2.74
Se  0.8958  0.8958  0.8958  3 V 2.49, 1 Zr 2.74
Se  0.1042  0.1042  0.1042  3 V 2.49, 1 Zr 2.74
V  0.5000  0.5000  0.5000  6 Se 2.49

Values from the calculation:
The calculated total energy is -6.596 eV per atom. Its total magnetic moment is 0.0 μB per formula unit. The calculation puts the formation energy without anion corrections at -0.44 eV/atom.



4.
Ca2YNb | PBE-GGA | relaxed

a = 4.5547 Å, b = 4.5547 Å, c = 12.3782 Å
α = 79.40°, β = 79.40°, γ = 90.00°
Last column: nearest neighbours and their distance in Å.
Fractional positions:
Y  0.5000  0.5000  0.0000  4 Nb 3.22, 4 Ca 3.41
Y  0.2500  0.7500  0.5000  4 Nb 3.22, 4 Ca 3.41
Nb  0.0000  0.0000  0.0000  4 Y 3.22, 4 Ca 3.38
Nb  0.7500  0.2500  0.5000  4 Y 3.22, 4 Ca 3.38
Ca  0.6379  0.1250  0.2500  4 Ca 3.14-3.30, 2 Nb 3.38, 2 Y 3.41
Ca  0.1121  0.6250  0.2500  4 Ca 3.14-3.30, 2 Nb 3.38, 2 Y 3.41
Ca  0.3750  0.3621  0.7500  4 Ca 3.14-3.30, 2 Nb 3.38, 2 Y 3.41
Ca  0.8750  0.8879  0.7500  4 Ca 3.14-3.30, 2 Nb 3.38, 2 Y 3.41

Values from the calculation:
The calculated total energy is -4.327 eV per atom. Its total magnetic moment is 2.3 μB per formula unit. The value obtained for the calculated formation energy is 0.807 eV/atom.



total magnetic moment of number 2 (NaCd2AgO4)? 0.0 μB per formula unit



The lowest calculated total energy belongs to which entry? ZrVSe2



Which value of calculated total energy does entry 2 give? -4.035 eV per atom